DFT (GGA-PBE) results for a geometry-optimized TbY3 structure.

a b c (Å): 5.0471 5.0471 5.0471
angles (deg): 90.00 90.00 90.00
Fractional positions:
1 Y 0.0000 0.5000 0.5000
2 Y 0.5000 0.0000 0.5000
3 Y 0.5000 0.5000 0.0000
4 Tb 0.0000 0.0000 0.0000

## Properties
**Space group**: No. 221
**Energy relative to the lowest polymorph listed for this composition**: 22 meV per atom
**Formation energy**: 0.1 eV per formula unit

---

DFT (GGA-PBE) results for a geometry-optimized Li2Mg2ZnAg4 structure.

a b c (Å): 5.5088 7.2145 5.5471
angles (deg): 115.64 123.31 84.77
Fractional positions:
1 Li 0.7941 0.3576 0.1535
2 Li 0.2059 0.6424 0.8465
3 Mg 0.2763 0.8591 0.5373
4 Mg 0.7237 0.1409 0.4627
5 Zn 0.0000 0.0000 0.0000
6 Ag 0.7299 0.6149 0.8521
7 Ag 0.7111 0.7320 0.3976
8 Ag 0.2701 0.3851 0.1479
9 Ag 0.2889 0.2680 0.6024

## Properties
**Space group**: No. 2
**Formation energy**: -1.1 eV per formula unit

---

DFT (GGA-PBE) results for a geometry-optimized Nd3GaNiS7 structure.

a b c (Å): 9.8496 9.8496 6.2818
angles (deg): 90.00 90.00 120.00
Last column: magnetic moment on the atom in μB.
Fractional positions:
1 Nd 0.8425 0.6248 0.6755  0.01
2 Nd 0.7823 0.1575 0.6755  0.01
3 Nd 0.3752 0.2177 0.6755  0.01
4 Nd 0.1575 0.3752 0.1755  0.01
5 Nd 0.2177 0.8425 0.1755  0.01
6 Nd 0.6248 0.7823 0.1755  0.01
7 Ga 0.3333 0.6667 0.5999  0.00
8 Ga 0.6667 0.3333 0.0999  0.00
9 Ni 0.0000 0.0000 0.0036  1.21
10 Ni 0.0000 0.0000 0.5036  1.21
11 S 0.5663 0.4770 0.9513  0.01
12 S 0.9107 0.4337 0.9513  0.01
13 S 0.5230 0.0893 0.9513  0.01
14 S 0.4337 0.5230 0.4513  0.01
15 S 0.0893 0.5663 0.4513  0.01
16 S 0.4770 0.9107 0.4513  0.01
17 S 0.3333 0.6667 0.9605  0.01
18 S 0.6667 0.3333 0.4605  0.01
19 S 0.1280 0.9035 0.7660  0.14
20 S 0.7754 0.8720 0.7660  0.14
21 S 0.0965 0.2246 0.7660  0.14
22 S 0.8720 0.0965 0.2660  0.14
23 S 0.2246 0.1280 0.2660  0.14
24 S 0.9035 0.7754 0.2660  0.14

## Properties
**Space group**: No. 173
**Energy relative to the elements, uncorrected**: -1.4696 eV/atom

---

DFT (GGA-PBE) results for a geometry-optimized CdAg2Sn structure.

a b c (Å): 3.1008 3.1008 9.7897
angles (deg): 76.02 76.02 70.11
Fractional positions:
1 Cd 0.6255 0.6255 0.0000
2 Ag 0.1491 0.1491 0.7596
3 Ag 0.1011 0.1011 0.2405
4 Sn 0.6242 0.6242 0.4999

## Properties
**Space group**: No. 8
**Formation energy**: 0.1 eV per formula unit

---

DFT (GGA-PBE) results for a geometry-optimized InPbSeN2 structure.

a b c (Å): 4.5379 4.5379 6.3346
angles (deg): 90.00 90.00 90.00
Last column: magnetic moment on the atom in μB.
Fractional positions:
1 Pb 0.0000 0.0000 0.0000  -0.05
2 N 0.0000 0.5000 0.0000  0.94
3 N 0.5000 0.0000 0.0000  0.94
4 Se 0.0000 0.0000 0.5000  0.14
5 In 0.5000 0.5000 0.5000  0.03

## Properties
**Space group**: No. 123
**Energy relative to the elements, uncorrected**: 1.4068 eV/atom

---

DFT (GGA-PBE) results for a geometry-optimized BaZnRh3 structure.

a b c (Å): 5.0772 5.0772 5.0772
angles (deg): 90.00 90.00 90.00
Fractional positions:
1 Zn 0.5000 0.5000 0.5000
2 Rh 0.0000 0.5000 0.0000
3 Rh 0.0000 0.0000 0.5000
4 Rh 0.5000 0.0000 0.0000
5 Ba 0.0000 0.0000 0.0000

## Properties
**Space group**: No. 221
**Energy relative to the lowest polymorph listed for this composition**: 1431 meV per atom
**Formation energy**: 9.0 eV per formula unit

---

DFT (GGA-PBE) results for a geometry-optimized PbCl2O structure.

a b c (Å): 5.0664 5.0664 9.1961
angles (deg): 74.01 74.01 90.00
Last column: magnetic moment on the atom in μB.
Fractional positions:
1 Pb 0.0000 0.0000 0.0000  0.00
2 Pb 0.7500 0.2500 0.5000  0.00
3 O 0.5000 0.5000 0.0000  1.29
4 O 0.2500 0.7500 0.5000  1.31
5 Cl 0.6053 0.1250 0.2500  0.18
6 Cl 0.1447 0.6250 0.2500  0.18
7 Cl 0.3750 0.3947 0.7500  0.17
8 Cl 0.8750 0.8553 0.7500  0.17

## Properties
**Space group**: No. 122
**Energy relative to the lowest polymorph listed for this composition**: 87 meV per atom
**Energy relative to the elements, uncorrected**: -0.0345 eV/atom

---

DFT (GGA-PBE) results for a geometry-optimized K2Ga2As structure.

a b c (Å): 7.1094 7.1094 5.6247
angles (deg): 90.00 90.00 90.00
Fractional positions:
1 As 0.0000 0.0000 0.0000
2 As 0.5000 0.5000 0.0000
3 K 0.1910 0.6910 0.5000
4 K 0.6910 0.8090 0.5000
5 K 0.8090 0.3090 0.5000
6 K 0.3090 0.1910 0.5000
7 Ga 0.3733 0.8733 0.0000
8 Ga 0.8733 0.6267 0.0000
9 Ga 0.6267 0.1267 0.0000
10 Ga 0.1267 0.3733 0.0000

## Properties
**Space group**: No. 127
**Energy relative to the lowest polymorph listed for this composition**: 0 meV per atom
**Formation energy**: -0.6 eV per formula unit

---

DFT (GGA-PBE) results for a geometry-optimized Ho6Al2Rh structure.

a b c (Å): 4.9694 7.0577 8.4983
angles (deg): 114.53 107.01 90.00
Fractional positions:
1 Ho 0.1584 0.4019 0.3166
2 Ho 0.8416 0.0853 0.6834
3 Ho 0.8416 0.5981 0.6834
4 Ho 0.5000 0.2365 0.0000
5 Ho 0.1584 0.9147 0.3166
6 Ho 0.5000 0.7635 0.0000
7 Al 0.6679 0.6679 0.3357
8 Al 0.3321 0.3321 0.6643
9 Rh 0.0000 0.0000 0.0000

## Properties
**Space group**: No. 71
**Formation energy**: -1.9 eV per formula unit

---

DFT (GGA-PBE) results for a geometry-optimized AlSe2NF structure.

a b c (Å): 4.9562 4.9562 3.5570
angles (deg): 90.00 90.00 90.00
Last column: magnetic moment on the atom in μB.
Fractional positions:
1 N 0.0000 0.0000 0.5000  -0.02
2 Al 0.0000 0.0000 0.0000  0.00
3 Se 0.0000 0.5000 0.0000  0.10
4 Se 0.5000 0.0000 0.0000  0.10
5 F 0.5000 0.5000 0.5000  0.07

## Properties
**Space group**: No. 123
**Energy relative to the lowest polymorph listed for this composition**: 0 meV per atom
**Energy relative to the elements, uncorrected**: 0.3399 eV/atom

---

DFT (GGA-PBE) results for a geometry-optimized Nd2MgSi3Pd4 structure.

a b c (Å): 4.2796 4.2796 10.1862
angles (deg): 90.00 90.00 90.00
Fractional positions:
1 Nd 0.5000 0.0000 0.2434
2 Nd 0.0000 0.5000 0.7566
3 Mg 0.5000 0.5000 0.5000
4 Si 0.0000 0.0000 0.5000
5 Si 0.5000 0.0000 0.8737
6 Si 0.0000 0.5000 0.1263
7 Pd 0.5000 0.5000 0.0000
8 Pd 0.0000 0.0000 0.0000
9 Pd 0.5000 0.0000 0.6373
10 Pd 0.0000 0.5000 0.3627

## Properties
**Space group**: No. 115
**Energy relative to the elements, uncorrected**: -0.8594 eV/atom

---

DFT (GGA-PBE) results for a geometry-optimized Nd2TmGa6 structure.

a b c (Å): 4.3711 7.0693 8.0021
angles (deg): 116.21 105.85 90.00
Fractional positions:
1 Nd 0.8709 0.8709 0.7419
2 Nd 0.1291 0.1291 0.2581
3 Tm 0.0000 0.5000 0.0000
4 Ga 0.6780 0.8645 0.3559
5 Ga 0.3220 0.1355 0.6441
6 Ga 0.3220 0.5086 0.6441
7 Ga 0.5000 0.1958 0.0000
8 Ga 0.5000 0.8042 0.0000
9 Ga 0.6780 0.4914 0.3559

## Properties
**Space group**: No. 71
**Energy relative to the lowest polymorph listed for this composition**: 236 meV per atom
**Formation energy**: -3.7 eV per formula unit

---

DFT (GGA-PBE) results for a geometry-optimized Os2PtCl4 structure.

a b c (Å): 5.1782 5.1782 6.9561
angles (deg): 68.15 68.15 90.00
Fractional positions:
1 Os 0.5928 0.5928 0.8144
2 Os 0.4072 0.4072 0.1856
3 Pt 0.0000 0.0000 0.0000
4 Cl 0.7928 0.7928 0.4143
5 Cl 0.2072 0.2072 0.5857
6 Cl 0.0000 0.5000 0.0000
7 Cl 0.5000 0.0000 0.0000

## Properties
**Space group**: No. 139
**Energy relative to the elements, uncorrected**: 1.0021 eV/atom

---

DFT (GGA-PBE) results for a geometry-optimized K2AgS2 structure.

a b c (Å): 7.2406 7.2406 4.7880
angles (deg): 90.00 90.00 90.00
Fractional positions:
1 K 0.1472 0.6472 0.5000
2 K 0.6472 0.8528 0.5000
3 K 0.8528 0.3528 0.5000
4 K 0.3528 0.1472 0.5000
5 S 0.3321 0.8321 0.0000
6 S 0.8321 0.6679 0.0000
7 S 0.6679 0.1679 0.0000
8 S 0.1679 0.3321 0.0000
9 Ag 0.0000 0.0000 0.0000
10 Ag 0.5000 0.5000 0.0000

## Properties
**Space group**: No. 127
**Energy relative to the lowest polymorph listed for this composition**: 98 meV per atom
**Energy relative to the elements, uncorrected**: -0.5479 eV/atom

---

DFT (GGA-PBE) results for a geometry-optimized PmGaPd structure.

a b c (Å): 5.0429 5.0429 6.5078
angles (deg): 67.20 67.20 60.00
Fractional positions:
1 Pd 0.2198 0.2198 0.3405
2 Pd 0.7802 0.7802 0.6595
3 Pm 0.3969 0.3969 0.8093
4 Pm 0.6031 0.6031 0.1907
5 Ga 0.9228 0.9228 0.2317
6 Ga 0.0772 0.0772 0.7683

## Properties
**Space group**: No. 166
**Energy relative to the lowest polymorph listed for this composition**: 219 meV per atom
**Formation energy**: -1.9 eV per formula unit

---

DFT (GGA-PBE) results for a geometry-optimized SiMo2Br structure.

a b c (Å): 5.0762 5.0762 3.2691
angles (deg): 74.25 74.25 114.00
Fractional positions:
1 Br 0.0000 0.5000 0.5000
2 Mo 0.0000 0.0000 0.0000
3 Mo 0.5000 0.5000 0.0000
4 Si 0.5000 0.0000 0.5000

## Properties
**Space group**: No. 12
**Energy relative to the lowest polymorph listed for this composition**: 641 meV per atom
**Energy relative to the elements, uncorrected**: 0.7787 eV/atom

---

DFT (GGA-PBE) results for a geometry-optimized LiThTe2 structure.

a b c (Å): 4.2561 4.2561 8.1798
angles (deg): 74.92 74.92 60.00
Fractional positions:
1 Li 0.4993 0.4993 0.5020
2 Th 0.6667 0.6667 0.9999
3 Te 0.0864 0.0864 0.7407
4 Te 0.2475 0.2475 0.2574

## Properties
**Space group**: No. 160
**Energy relative to the elements, uncorrected**: -1.0502 eV/atom

---

DFT (GGA-PBE) results for a geometry-optimized Eu2CuSb structure.

a b c (Å): 5.3947 5.3947 5.3947
angles (deg): 60.00 60.00 60.00
Last column: magnetic moment on the atom in μB.
Fractional positions:
1 Eu 0.2500 0.2500 0.2500  6.86
2 Eu 0.7500 0.7500 0.7500  6.86
3 Sb 0.5000 0.5000 0.5000  -0.08
4 Cu 0.0000 0.0000 0.0000  -0.04

## Properties
**Space group**: No. 225
**Energy relative to the lowest polymorph listed for this composition**: 0 meV per atom
**Energy relative to the elements, uncorrected**: -0.5919 eV/atom

---

DFT (GGA-PBE) results for a geometry-optimized YMn2As2 structure.

a b c (Å): 3.9961 3.9961 6.7473
angles (deg): 90.00 90.00 120.00
Last column: magnetic moment on the atom in μB.
Fractional positions:
1 Y 0.0000 0.0000 0.0000  -0.04
2 Mn 0.6667 0.3333 0.6211  2.60
3 Mn 0.3333 0.6667 0.3789  2.60
4 As 0.6667 0.3333 0.2634  -0.08
5 As 0.3333 0.6667 0.7366  -0.08

## Properties
**Space group**: No. 164
**Formation energy**: -3.0 eV per formula unit

---

DFT (GGA-PBE) results for a geometry-optimized TiNb2CrFe structure.

a b c (Å): 4.6346 4.2032 4.6346
angles (deg): 90.00 90.00 90.00
Last column: magnetic moment on the atom in μB.
Fractional positions:
1 Cr 0.0000 0.5000 0.0000  1.83
2 Nb 0.0000 0.0000 0.5000  -0.18
3 Nb 0.5000 0.0000 0.0000  -0.23
4 Fe 0.0000 0.0000 0.0000  -0.14
5 Ti 0.5000 0.5000 0.5000  -0.28

## Properties
**Space group**: No. 123
**Formation energy**: 3.6 eV per formula unit

---

Uncorrected energy values, unit eV per atom, following the record order: -5.9817 -2.3158 -5.8032 -2.6207 -3.9096 -3.2589 -3.1245 -2.6915 -4.9148 -3.8417 -5.6765 -3.9850 -4.1246 -3.2081 -4.9562 -6.4108 -4.9545 -7.7838 -7.4164 -8.4945.